1.
DFT (PBE-GGA) results for crystalline Sc3TcN at its relaxed geometry.

Cell lengths 4.363, 4.363, 4.363 Å; angles 90.00, 90.00, 90.00 degrees
Atoms (fractional coordinates):
Sc 0.000 0.500 0.000
Sc 0.000 0.000 0.500
Sc 0.500 0.000 0.000
Tc 0.500 0.500 0.500
N 0.000 0.000 0.000

Values from the calculation:
theoretical density: 4.9 g cm⁻³
crystal system: cubic
ΔE to the lowest computed polymorph: 0 meV per atom
symmetry: Pm-3m


2.
DFT (PBE-GGA) results for crystalline Sc2TcN2 at its relaxed geometry.

Cell lengths 6.621, 6.621, 2.883 Å; angles 90.00, 90.00, 90.00 degrees
Atoms (fractional coordinates):
Sc 0.348 0.848 0.000
Sc 0.848 0.652 0.000
Sc 0.652 0.152 0.000
Sc 0.152 0.348 0.000
Tc 0.000 0.000 0.000
Tc 0.500 0.500 0.000
N 0.170 0.670 0.500
N 0.670 0.830 0.500
N 0.830 0.330 0.500
N 0.330 0.170 0.500

Values from the calculation:
theoretical density: 5.7 g cm⁻³
crystal system: tetragonal
ΔE to the lowest computed polymorph: 272 meV per atom
symmetry: P4/mbm


3.
DFT (PBE-GGA) results for crystalline Sc2TcN2 at its relaxed geometry.

Cell lengths 4.022, 4.022, 5.513 Å; angles 68.60, 68.60, 90.00 degrees
Each line ends with the local moment (μB).
Atoms (fractional coordinates):
Sc 0.322 0.322 0.357  -0.01
Sc 0.678 0.678 0.643  -0.01
Tc 0.000 0.000 0.000  2.97
N 0.750 0.250 0.500  0.10
N 0.250 0.750 0.500  0.10

Values from the calculation:
theoretical density: 4.7 g cm⁻³
crystal system: tetragonal
ΔE to the lowest computed polymorph: 0 meV per atom
symmetry: I4/mmm


4.
DFT (PBE-GGA) results for crystalline ScTc2N at its relaxed geometry.

Cell lengths 6.965, 6.965, 5.448 Å; angles 50.26, 50.26, 90.00 degrees
Atoms (fractional coordinates):
Sc 0.000 0.000 0.000
Sc 0.750 0.250 0.500
Tc 0.504 0.125 0.250
Tc 0.246 0.625 0.250
Tc 0.375 0.496 0.750
Tc 0.875 0.754 0.750
N 0.500 0.500 0.000
N 0.250 0.750 0.500

Values from the calculation:
theoretical density: 7.5 g cm⁻³
crystal system: tetragonal
symmetry: I-42d


5.
DFT (PBE-GGA) results for crystalline Sc3TcN at its relaxed geometry.

Cell lengths 4.891, 4.891, 4.891 Å; angles 90.00, 90.00, 90.00 degrees
Atoms (fractional coordinates):
Sc 0.000 0.500 0.000
Sc 0.000 0.000 0.500
Sc 0.500 0.000 0.000
Tc 0.000 0.000 0.000
N 0.500 0.500 0.500

Values from the calculation:
theoretical density: 3.5 g cm⁻³
crystal system: cubic
ΔE to the lowest computed polymorph: 1749 meV per atom
symmetry: Pm-3m


6.
DFT (PBE-GGA) results for crystalline ScTcN2 at its relaxed geometry.

Cell lengths 3.812, 3.812, 3.812 Å; angles 60.00, 60.00, 60.00 degrees
Atoms (fractional coordinates):
Sc 0.000 0.000 0.000
Tc 0.500 0.500 0.500
N 0.250 0.250 0.250
N 0.750 0.750 0.750

Values from the calculation:
theoretical density: 7.3 g cm⁻³
crystal system: cubic
ΔE to the lowest computed polymorph: 316 meV per atom
symmetry: Fm-3m


7.
DFT (PBE-GGA) results for crystalline ScTcN2 at its relaxed geometry.

Cell lengths 3.049, 3.049, 5.606 Å; angles 74.22, 74.22, 60.00 degrees
Atoms (fractional coordinates):
Sc 0.667 0.667 0.999
Tc 0.492 0.492 0.523
N 0.087 0.087 0.738
N 0.253 0.253 0.240

Values from the calculation:
theoretical density: 6.6 g cm⁻³
crystal system: trigonal
ΔE to the lowest computed polymorph: 66 meV per atom
symmetry: R3m


8.
DFT (PBE-GGA) results for crystalline ScTcN2 at its relaxed geometry.

Cell lengths 6.237, 6.237, 6.237 Å; angles 29.96, 29.96, 29.96 degrees
Atoms (fractional coordinates):
Sc 0.500 0.500 0.500
Tc 0.000 0.000 0.000
N 0.897 0.897 0.897
N 0.103 0.103 0.103

Values from the calculation:
theoretical density: 5.3 g cm⁻³
crystal system: trigonal
ΔE to the lowest computed polymorph: 225 meV per atom
symmetry: R-3m


9.
DFT (PBE-GGA) results for crystalline ScTcTe2N at its relaxed geometry.

Cell lengths 5.442, 5.442, 3.731 Å; angles 90.00, 90.00, 90.00 degrees
Atoms (fractional coordinates):
Sc 0.500 0.500 0.500
Te 0.000 0.500 0.000
Te 0.500 0.000 0.000
Tc 0.000 0.000 0.000
N 0.000 0.000 0.500

Values from the calculation:
theoretical density: 6.2 g cm⁻³
crystal system: tetragonal
ΔE to the lowest computed polymorph: 0 meV per atom
symmetry: P4/mmm


10.
DFT (PBE-GGA) results for crystalline ScTcTe2N at its relaxed geometry.

Cell lengths 5.644, 5.644, 3.854 Å; angles 90.00, 90.00, 90.00 degrees
Each line ends with the local moment (μB).
Atoms (fractional coordinates):
Sc 0.000 0.000 0.000  0.05
Te 0.000 0.500 0.000  -0.09
Te 0.500 0.000 0.000  -0.09
Tc 0.500 0.500 0.500  3.31
N 0.000 0.000 0.500  0.38

Values from the calculation:
theoretical density: 5.6 g cm⁻³
crystal system: tetragonal
ΔE to the lowest computed polymorph: 767 meV per atom
symmetry: P4/mmm


11.
DFT (PBE-GGA) results for crystalline ScTcW2N at its relaxed geometry.

Cell lengths 4.157, 4.244, 4.157 Å; angles 90.00, 90.00, 90.00 degrees
Atoms (fractional coordinates):
Sc 0.500 0.500 0.500
Tc 0.000 0.500 0.000
W 0.000 0.000 0.500
W 0.500 0.000 0.000
N 0.000 0.000 0.000

Values from the calculation:
theoretical density: 11.9 g cm⁻³
crystal system: tetragonal
symmetry: P4/mmm


12.
DFT (PBE-GGA) results for crystalline ScTc2WN at its relaxed geometry.

Cell lengths 4.863, 3.862, 4.863 Å; angles 90.00, 90.00, 90.00 degrees
Atoms (fractional coordinates):
Sc 0.500 0.500 0.500
Tc 0.000 0.000 0.500
Tc 0.500 0.000 0.000
W 0.000 0.000 0.000
N 0.000 0.500 0.000

Values from the calculation:
theoretical density: 8.0 g cm⁻³
crystal system: tetragonal
symmetry: P4/mmm


13.
DFT (PBE-GGA) results for crystalline ScTcWN2 at its relaxed geometry.

Cell lengths 3.922, 5.548, 3.922 Å; angles 90.00, 90.00, 90.00 degrees
Each line ends with the local moment (μB).
Atoms (fractional coordinates):
Sc 0.000 0.500 0.000  -0.17
Tc 0.500 0.500 0.500  2.01
W 0.000 0.000 0.000  -0.11
N 0.000 0.000 0.500  0.05
N 0.500 0.000 0.000  0.05

Values from the calculation:
theoretical density: 6.9 g cm⁻³
crystal system: tetragonal
symmetry: P4/mmm


14.
DFT (PBE-GGA) results for crystalline ScZnTc2N at its relaxed geometry.

Cell lengths 4.551, 4.551, 4.847 Å; angles 90.00, 90.00, 90.00 degrees
Each line ends with the local moment (μB).
Atoms (fractional coordinates):
Sc 0.000 0.000 0.000  -0.07
Zn 0.000 0.000 0.500  -0.01
Tc 0.000 0.500 0.000  0.40
Tc 0.500 0.000 0.000  0.40
N 0.500 0.500 0.500  0.29

Values from the calculation:
theoretical density: 5.3 g cm⁻³
crystal system: tetragonal
symmetry: P4/mmm


15.
DFT (PBE-GGA) results for crystalline ZrSc2TcN at its relaxed geometry.

Cell lengths 4.278, 4.278, 4.605 Å; angles 90.00, 90.00, 90.00 degrees
Atoms (fractional coordinates):
Sc 0.000 0.500 0.000
Sc 0.500 0.000 0.000
Tc 0.500 0.500 0.500
Zr 0.000 0.000 0.500
N 0.000 0.000 0.000

Values from the calculation:
theoretical density: 5.8 g cm⁻³
crystal system: tetragonal
symmetry: P4/mmm


16.
DFT (PBE-GGA) results for crystalline Zr2ScTcN at its relaxed geometry.

Cell lengths 4.525, 4.525, 4.195 Å; angles 90.00, 90.00, 90.00 degrees
Atoms (fractional coordinates):
Sc 0.000 0.000 0.500
Tc 0.500 0.500 0.500
Zr 0.000 0.500 0.000
Zr 0.500 0.000 0.000
N 0.000 0.000 0.000

Values from the calculation:
theoretical density: 6.6 g cm⁻³
crystal system: tetragonal
symmetry: P4/mmm


17.
DFT (PBE-GGA) results for crystalline Sc4Te5N at its relaxed geometry.

Cell lengths 3.830, 7.957, 8.695 Å; angles 101.46, 102.72, 90.00 degrees
Atoms (fractional coordinates):
Sc 0.635 0.070 0.271
Sc 0.996 0.211 0.991
Sc 0.365 0.930 0.729
Sc 0.004 0.789 0.009
Te 0.163 0.342 0.326
Te 0.173 0.824 0.346
Te 0.827 0.176 0.654
Te 0.500 0.500 0.000
Te 0.837 0.658 0.674
N 0.500 0.000 0.000

Values from the calculation:
theoretical density: 5.5 g cm⁻³
crystal system: monoclinic
symmetry: C2/m


18.
DFT (PBE-GGA) results for crystalline Sc2TeN at its relaxed geometry.

Cell lengths 4.679, 4.679, 4.679 Å; angles 60.00, 60.00, 60.00 degrees
Each line ends with the local moment (μB).
Atoms (fractional coordinates):
Sc 0.250 0.250 0.250  0.36
Sc 0.750 0.750 0.750  0.36
Te 0.500 0.500 0.500  -0.02
N 0.000 0.000 0.000  -0.04

Values from the calculation:
theoretical density: 5.3 g cm⁻³
crystal system: cubic
ΔE to the lowest computed polymorph: 1020 meV per atom
symmetry: Fm-3m


19.
DFT (PBE-GGA) results for crystalline Sc2TeN at its relaxed geometry.

Cell lengths 5.989, 5.989, 6.435 Å; angles 62.27, 62.27, 90.00 degrees
Atoms (fractional coordinates):
Sc 0.516 0.125 0.250
Sc 0.234 0.625 0.250
Sc 0.375 0.484 0.750
Sc 0.875 0.766 0.750
Te 0.000 0.000 0.000
Te 0.750 0.250 0.500
N 0.500 0.500 0.000
N 0.250 0.750 0.500

Values from the calculation:
theoretical density: 4.4 g cm⁻³
crystal system: tetragonal
ΔE to the lowest computed polymorph: 0 meV per atom
symmetry: I-42d


20.
DFT (PBE-GGA) results for crystalline ScTe2N at its relaxed geometry.

Cell lengths 7.498, 7.498, 7.498 Å; angles 33.15, 33.15, 33.15 degrees
Atoms (fractional coordinates):
Sc 0.500 0.500 0.500
Te 0.908 0.908 0.908
Te 0.092 0.092 0.092
N 0.000 0.000 0.000

Values from the calculation:
theoretical density: 4.7 g cm⁻³
crystal system: trigonal
symmetry: R-3m


| no. | electronic total energy (eV per atom) | ΔE_f (raw) (meV/atom) | spin magnetization (μB per cell) |
| --- | --- | --- | --- |
| 1 | -8.271 | -734 | 0.00 |
| 2 | -7.885 | 51 | 0.00 |
| 3 | -8.156 | -220 | 3.54 |
| 4 | -9.076 | -229 | 0.00 |
| 5 | -6.522 | 1016 | 0.00 |
| 6 | -8.717 | -380 | 0.00 |
| 7 | -8.967 | -630 | 0.00 |
| 8 | -8.807 | -470 | 0.00 |
| 9 | -6.336 | -75 | 0.00 |
| 10 | -5.569 | 692 | 4.08 |
| 11 | -10.234 | -48 | 0.00 |
| 12 | -8.658 | 1010 | 0.00 |
| 13 | -8.195 | 1065 | 2.01 |
| 14 | -4.652 | 2680 | 1.18 |
| 15 | -8.713 | -733 | 0.00 |
| 16 | -9.126 | -702 | 0.00 |
| 17 | -5.995 | -1059 | 0.00 |
| 18 | -6.264 | -231 | 0.94 |
| 19 | -7.284 | -1251 | 0.00 |
| 20 | -4.965 | 270 | 0.00 |